## LiScPaO4 (PBE-GGA)

Data for a geometry-optimized LiScPaO4 structure.

Lattice parameters (Å, degrees): 6.6157 6.6157 6.6157 122.84 114.56 92.41
With the nearest neighbours (Å) after each atom.
Fractional coordinates of all 14 atoms:
Li (0.3557, 0.1057, 0.2500)  2 O 2.03
Li (0.6443, 0.8943, 0.7500)  2 O 2.03
Sc (0.0000, 0.0000, 0.5000)  6 O 2.15-2.20
Sc (0.0000, 0.5000, 0.0000)  6 O 2.15-2.20
Pa (0.0000, 0.5000, 0.5000)  6 O 2.21-2.29
Pa (0.5000, 0.5000, 0.0000)  6 O 2.21-2.29
O (0.1918, 0.7387, 0.4531)  2 Sc 2.15, 1 Pa 2.21
O (0.2144, 0.2613, 0.9531)  2 Sc 2.15, 1 Pa 2.21
O (0.2398, 0.2633, 0.5235)  1 Li 2.03, 1 Sc 2.20
O (0.2398, 0.7163, 0.9765)  1 Li 2.03, 1 Sc 2.20
O (0.7602, 0.2837, 0.0235)  1 Li 2.03, 1 Sc 2.20
O (0.7602, 0.7367, 0.4765)  1 Li 2.03, 1 Sc 2.20
O (0.7856, 0.7387, 0.0469)  2 Sc 2.15, 1 Pa 2.21
O (0.8082, 0.2613, 0.5469)  2 Sc 2.15, 1 Pa 2.21

Properties
**Space group**: Imma (74)
**Uncorrected formation energy**: -3.047 eV per atom


## Li3PaSe4O12 (PBE-GGA)

Data for a geometry-optimized Li3PaSe4O12 structure.

Lattice parameters (Å, degrees): 6.7443 6.7443 6.7443 105.61 105.61 105.61
With the nearest neighbours (Å) after each atom.
Fractional coordinates of all 20 atoms:
Li (0.0000, 0.5900, 0.4100)  6 O 2.12-2.35
Li (0.4100, 0.0000, 0.5900)  6 O 2.12-2.35
Li (0.5900, 0.4100, 0.0000)  6 O 2.12-2.35
Pa (0.0000, 0.0000, 0.0000)  6 O 2.21
Se (0.1050, 0.5000, 0.8950)  1 O 1.68
Se (0.5000, 0.5000, 0.5000)  3 O 1.68
Se (0.5000, 0.8950, 0.1050)  1 O 1.68
Se (0.8950, 0.1050, 0.5000)  1 O 1.68
O (0.0106, 0.7000, 0.7747)  1 Se 1.91
O (0.0515, 0.9485, 0.5000)  1 Se 1.68
O (0.2253, 0.3000, 0.9894)  1 Se 1.91
O (0.3000, 0.9894, 0.2253)  1 Se 1.91
O (0.3439, 0.6561, 0.5000)  1 Se 1.68
O (0.5000, 0.0515, 0.9485)  1 Se 1.68
O (0.5000, 0.3439, 0.6561)  1 Se 1.68
O (0.6561, 0.5000, 0.3439)  1 Se 1.68
O (0.7000, 0.7747, 0.0106)  1 Se 1.91
O (0.7747, 0.0106, 0.7000)  1 Se 1.91
O (0.9485, 0.5000, 0.0515)  1 Se 1.68
O (0.9894, 0.2253, 0.3000)  1 Se 1.91

Properties
**Space group**: R32 (155)
**Uncorrected formation energy**: -1.262 eV per atom


## Li2PaSeO6 (PBE-GGA)

Data for a geometry-optimized Li2PaSeO6 structure.

Lattice parameters (Å, degrees): 5.8428 5.8428 5.8428 52.76 52.76 52.76
With the nearest neighbours (Å) after each atom.
Fractional coordinates of all 10 atoms:
Li (0.2027, 0.2027, 0.2027)  3 O 2.01
Li (0.7973, 0.7973, 0.7973)  3 O 2.01
Pa (0.0000, 0.0000, 0.0000)  6 O 2.18
Se (0.5000, 0.5000, 0.5000)  6 O 1.95
O (0.1355, 0.7511, 0.3923)  1 Se 1.95, 1 Li 2.01, 1 Pa 2.18
O (0.2489, 0.6077, 0.8645)  1 Se 1.95, 1 Li 2.01, 1 Pa 2.18
O (0.3923, 0.1355, 0.7511)  1 Se 1.95, 1 Li 2.01, 1 Pa 2.18
O (0.6077, 0.8645, 0.2489)  1 Se 1.95, 1 Li 2.01, 1 Pa 2.18
O (0.7511, 0.3923, 0.1355)  1 Se 1.95, 1 Li 2.01, 1 Pa 2.18
O (0.8645, 0.2489, 0.6077)  1 Se 1.95, 1 Li 2.01, 1 Pa 2.18

Properties
**Space group**: R-3 (148)
**Uncorrected formation energy**: -2.024 eV per atom


## LiPa2SeO8 (PBE-GGA)

Data for a geometry-optimized LiPa2SeO8 structure.

Lattice parameters (Å, degrees): 5.2614 5.2614 6.9168 90.00 90.00 120.00
With the nearest neighbours (Å) after each atom.
Fractional coordinates of all 12 atoms:
Li (0.0000, 0.0000, 0.0000)  12 O 2.88-3.08
Pa (0.3333, 0.6667, 0.3442)  1 O 1.86
Pa (0.6667, 0.3333, 0.6558)  1 O 1.86
Se (0.0000, 0.0000, 0.5000)  6 O 1.85
O (0.1688, 0.3377, 0.6488)  1 Se 1.85
O (0.1688, 0.8312, 0.6488)  1 Se 1.85
O (0.3333, 0.6667, 0.0748)  1 Pa 1.86
O (0.3377, 0.1688, 0.3512)  1 Se 1.85
O (0.6623, 0.8312, 0.6488)  1 Se 1.85
O (0.6667, 0.3333, 0.9252)  1 Pa 1.86
O (0.8312, 0.1688, 0.3512)  1 Se 1.85
O (0.8312, 0.6623, 0.3512)  1 Se 1.85

Properties
**Space group**: P-3m1 (164)
**Uncorrected formation energy**: -2.074 eV per atom


## LiPaSeO2 (PBE-GGA)

Data for a geometry-optimized LiPaSeO2 structure.

Lattice parameters (Å, degrees): 6.6229 6.6229 6.6229 146.60 146.60 47.95
With the nearest neighbours (Å) after each atom.
Fractional coordinates of all 5 atoms:
Li (0.0000, 0.0000, 0.0000)  4 O 2.06
Pa (0.3506, 0.3506, 0.0000)  4 O 2.16
Se (0.7158, 0.7158, 0.0000)  4 Pa 3.15, 4 O 3.27, 1 Li 3.44
O (0.4353, 0.9353, 0.5000)  2 Li 2.06, 2 Pa 2.16
O (0.9353, 0.4353, 0.5000)  2 Li 2.06, 2 Pa 2.16

Properties
**Space group**: I4mm (107)
**Uncorrected formation energy**: -2.563 eV per atom


## LiPaSi2O8 (PBE-GGA)

Data for a geometry-optimized LiPaSi2O8 structure.

Lattice parameters (Å, degrees): 5.7648 5.7648 5.7648 107.30 107.30 113.90
With the nearest neighbours (Å) after each atom.
Fractional coordinates of all 12 atoms:
Li (0.0000, 0.0000, 0.0000)  4 O 2.21
Pa (0.7500, 0.2500, 0.5000)  4 O 2.18
Si (0.2500, 0.7500, 0.5000)  4 O 1.64
Si (0.5000, 0.5000, 0.0000)  4 O 1.64
O (0.0833, 0.3979, 0.3145)  1 Si 1.64
O (0.0833, 0.7688, 0.6855)  1 Si 1.64
O (0.1519, 0.3444, 0.8074)  1 Si 1.64
O (0.2312, 0.9167, 0.3145)  1 Si 1.64
O (0.5370, 0.3444, 0.1926)  1 Si 1.64
O (0.6021, 0.9167, 0.6855)  1 Si 1.64
O (0.6556, 0.4630, 0.8074)  1 Si 1.64
O (0.6556, 0.8481, 0.1926)  1 Si 1.64

Properties
**Space group**: I-4m2 (119)
**Uncorrected formation energy**: -2.451 eV per atom


## Li2PaSiO6 (PBE-GGA)

Data for a geometry-optimized Li2PaSiO6 structure.

Lattice parameters (Å, degrees): 5.6794 5.6794 5.6794 52.77 52.77 52.77
With the nearest neighbours (Å) after each atom.
Fractional coordinates of all 10 atoms:
Li (0.2041, 0.2041, 0.2041)  3 O 2.00
Li (0.7959, 0.7959, 0.7959)  3 O 2.00
Pa (0.0000, 0.0000, 0.0000)  6 O 2.18
Si (0.5000, 0.5000, 0.5000)  6 O 1.80
O (0.1583, 0.7382, 0.3907)  1 Si 1.80, 1 Li 2.00
O (0.2618, 0.6093, 0.8417)  1 Si 1.80, 1 Li 2.00
O (0.3907, 0.1583, 0.7382)  1 Si 1.80, 1 Li 2.00
O (0.6093, 0.8417, 0.2618)  1 Si 1.80, 1 Li 2.00
O (0.7382, 0.3907, 0.1583)  1 Si 1.80, 1 Li 2.00
O (0.8417, 0.2618, 0.6093)  1 Si 1.80, 1 Li 2.00

Properties
**Space group**: R-3 (148)
**Uncorrected formation energy**: -2.570 eV per atom


## LiPaSiO5 (PBE-GGA)

Data for a geometry-optimized LiPaSiO5 structure.

Lattice parameters (Å, degrees): 5.7918 5.7918 8.0659 109.97 109.97 92.26
With the nearest neighbours (Å) after each atom.
Fractional coordinates of all 16 atoms:
Li (0.1728, 0.8272, 0.7500)  3 O 1.95-2.02
Li (0.8272, 0.1728, 0.2500)  3 O 1.95-2.02
Pa (0.5000, 0.5000, 0.0000)  6 O 2.16-2.22
Pa (0.5000, 0.5000, 0.5000)  6 O 2.16-2.22
Si (0.1384, 0.8616, 0.2500)  4 O 1.65
Si (0.8616, 0.1384, 0.7500)  4 O 1.65
O (0.1694, 0.1968, 0.8479)  1 Si 1.65
O (0.1968, 0.1694, 0.3479)  1 Si 1.65
O (0.2414, 0.7354, 0.4099)  1 Si 1.65
O (0.2646, 0.7586, 0.0901)  1 Si 1.65
O (0.4063, 0.5937, 0.7500)  1 Li 1.95, 2 Pa 2.16
O (0.5937, 0.4063, 0.2500)  1 Li 1.95, 2 Pa 2.16
O (0.7354, 0.2414, 0.9099)  1 Si 1.65
O (0.7586, 0.2646, 0.5901)  1 Si 1.65
O (0.8032, 0.8306, 0.6521)  1 Si 1.65
O (0.8306, 0.8032, 0.1521)  1 Si 1.65

Properties
**Space group**: C2/c (15)
**Uncorrected formation energy**: -3.039 eV per atom


## Li4PaSi3O12 (PBE-GGA)

Data for a geometry-optimized Li4PaSi3O12 structure.

Lattice parameters (Å, degrees): 6.1927 6.1927 6.1927 109.47 109.47 109.47
With the nearest neighbours (Å) after each atom.
Fractional coordinates of all 20 atoms:
Li (0.0000, 0.0000, 0.5000)  6 O 1.98
Li (0.0000, 0.5000, 0.0000)  6 O 1.98
Li (0.5000, 0.0000, 0.0000)  6 O 1.98
Li (0.5000, 0.5000, 0.5000)  6 O 1.98
Pa (0.0000, 0.0000, 0.0000)  12 O 2.55
Si (0.0000, 0.5000, 0.5000)  4 O 1.69
Si (0.5000, 0.0000, 0.5000)  4 O 1.69
Si (0.5000, 0.5000, 0.0000)  4 O 1.69
O (0.1555, 0.4771, 0.3216)  1 Si 1.69
O (0.1555, 0.8340, 0.6784)  1 Si 1.69
O (0.1660, 0.3216, 0.8445)  1 Si 1.69
O (0.3216, 0.1555, 0.4771)  1 Si 1.69
O (0.3216, 0.8445, 0.1660)  1 Si 1.69
O (0.4771, 0.3216, 0.1555)  1 Si 1.69
O (0.5229, 0.6784, 0.8445)  1 Si 1.69
O (0.6784, 0.1555, 0.8340)  1 Si 1.69
O (0.6784, 0.8445, 0.5229)  1 Si 1.69
O (0.8340, 0.6784, 0.1555)  1 Si 1.69
O (0.8445, 0.1660, 0.3216)  1 Si 1.69
O (0.8445, 0.5229, 0.6784)  1 Si 1.69

Properties
**Space group**: Im-3 (204)
**Uncorrected formation energy**: -2.007 eV per atom


## LiSmPaO4 (PBE-GGA)

Data for a geometry-optimized LiSmPaO4 structure.

Lattice parameters (Å, degrees): 7.0984 7.0984 7.0984 121.68 120.66 87.99
With the nearest neighbours (Å) after each atom.
Fractional coordinates of all 14 atoms:
Li (0.3089, 0.0589, 0.2500)  2 O 2.03
Li (0.6911, 0.9411, 0.7500)  2 O 2.03
Sm (0.0000, 0.5000, 0.5000)  6 O 2.36-2.42
Sm (0.5000, 0.5000, 0.0000)  6 O 2.36-2.42
Pa (0.0000, 0.0000, 0.5000)  6 O 2.26
Pa (0.0000, 0.5000, 0.0000)  6 O 2.26
O (0.1849, 0.7293, 0.4556)  2 Pa 2.26, 1 Sm 2.36
O (0.2215, 0.2350, 0.5134)  1 Li 2.03, 1 Pa 2.26
O (0.2215, 0.7081, 0.9866)  1 Li 2.03, 1 Pa 2.26
O (0.2263, 0.2707, 0.9556)  2 Pa 2.26, 1 Sm 2.36
O (0.7737, 0.7293, 0.0444)  2 Pa 2.26, 1 Sm 2.36
O (0.7785, 0.2919, 0.0134)  1 Li 2.03, 1 Pa 2.26
O (0.7785, 0.7650, 0.4866)  1 Li 2.03, 1 Pa 2.26
O (0.8151, 0.2707, 0.5444)  2 Pa 2.26, 1 Sm 2.36

Properties
**Space group**: Imma (74)
**Uncorrected formation energy**: -2.954 eV per atom


- What is the uncorrected formation energy in the eighth record?
  -3.039 eV per atom


- Which formula does entry 9 have?
  Li4PaSi3O12